Entry 1:
HgRuSe2 | PBE | relaxed

Properties
Raw total energy in eV per cell: -16.2
Volume in Å³/cell: 92.30
Theoretical density in g cm⁻³: 8.27
Total magnetic moment in μB per formula unit: 0.00

Unit cell a=5.476 b=5.476 c=6.038 alpha=65.15 beta=65.15 gamma=34.59
Sites, in units of the cell vectors:
Hg (0.444, 0.444, 0.649)
Ru (0.731, 0.731, 0.619)
Se (0.078, 0.078, 0.926)
Se (0.247, 0.247, 0.306)



Entry 2:
LuCdRuRh | PBE | relaxed

Properties
Raw total energy in eV per cell: -23.2
DFT formation energy in eV per atom: -0.287
Volume in Å³/cell: 70.46
Theoretical density in g cm⁻³: 11.58
Total magnetic moment in μB per formula unit: 0.00

Unit cell a=4.636 b=4.636 c=4.636 alpha=60.00 beta=60.00 gamma=60.00
Sites, in units of the cell vectors:
Ru (0.750, 0.750, 0.750)
Lu (0.500, 0.500, 0.500)
Rh (0.250, 0.250, 0.250)
Cd (0.000, 0.000, 0.000)



Entry 3:
Rb2Ba2TcO6 | PBE | relaxed

Properties
Raw total energy in eV per cell: -66.2
Volume in Å³/cell: 234.66
Theoretical density in g cm⁻³: 4.53
Total magnetic moment in μB per formula unit: 1.01

Unit cell a=6.346 b=6.346 c=6.821 alpha=97.20 beta=97.20 gamma=118.26
Last column: magnetic moment on the atom in μB.
Sites, in units of the cell vectors:
Rb (0.845, 0.155, 0.000)  0.00
Rb (0.155, 0.845, 0.000)  0.00
Ba (0.338, 0.662, 0.500)  0.01
Ba (0.662, 0.338, 0.500)  0.01
Tc (0.000, 0.000, 0.500)  0.77
O (0.801, 0.801, 0.678)  0.02
O (0.042, 0.301, 0.664)  0.02
O (0.199, 0.199, 0.322)  0.02
O (0.301, 0.042, 0.664)  0.02
O (0.958, 0.699, 0.336)  0.02
O (0.699, 0.958, 0.336)  0.02



Entry 4:
Tm5InTc | PBE | relaxed

Properties
Raw total energy in eV per cell: -71.5
DFT formation energy in eV per atom: -0.038
Volume in Å³/cell: 376.77
Theoretical density in g cm⁻³: 9.32
Total magnetic moment in μB per formula unit: 0.00

Unit cell a=5.848 b=5.848 c=11.695 alpha=77.71 beta=77.71 gamma=78.44
Sites, in units of the cell vectors:
Tm (0.919, 0.584, 0.125)
Tm (0.207, 0.541, 0.564)
Tm (0.584, 0.919, 0.625)
Tm (0.986, 0.014, 0.250)
Tm (0.459, 0.793, 0.936)
Tm (0.541, 0.207, 0.064)
Tm (0.014, 0.986, 0.750)
Tm (0.416, 0.081, 0.375)
Tm (0.793, 0.459, 0.436)
Tm (0.081, 0.416, 0.875)
In (0.397, 0.603, 0.250)
In (0.603, 0.397, 0.750)
Tc (0.000, 0.000, 0.000)
Tc (0.000, 0.000, 0.500)



Entry 5:
KCo2NiCl8 | PBE | relaxed

Properties
Raw total energy in eV per cell: -45.0
Volume in Å³/cell: 306.00
Theoretical density in g cm⁻³: 2.71
Total magnetic moment in μB per formula unit: 9.07

Unit cell a=6.174 b=6.174 c=9.930 alpha=71.89 beta=71.89 gamma=60.00
Last column: magnetic moment on the atom in μB.
Sites, in units of the cell vectors:
K (0.500, 0.500, 0.500)  0.00
Co (0.259, 0.259, 0.223)  2.58
Co (0.741, 0.741, 0.777)  2.58
Ni (0.000, 0.000, 0.000)  1.49
Cl (0.180, 0.180, 0.459)  0.20
Cl (0.634, 0.268, 0.154)  0.22
Cl (0.820, 0.820, 0.541)  0.20
Cl (0.945, 0.634, 0.154)  0.22
Cl (0.055, 0.366, 0.846)  0.22
Cl (0.268, 0.945, 0.154)  0.22
Cl (0.732, 0.055, 0.846)  0.22
Cl (0.366, 0.732, 0.846)  0.22



Entry 6:
LiTaBe | PBE | relaxed

Properties
Raw total energy in eV per cell: -33.4
DFT formation energy in eV per atom: 0.257
Volume in Å³/cell: 79.80
ΔE to the lowest computed polymorph in eV per atom: 0.129
Theoretical density in g cm⁻³: 8.19
Total magnetic moment in μB per formula unit: 0.00

Unit cell a=13.453 b=5.569 c=5.569 alpha=150.80 beta=152.90 gamma=27.10
Sites, in units of the cell vectors:
Be (0.637, 0.038, 0.962)
Be (0.363, 0.962, 0.038)
Li (0.168, 0.531, 0.469)
Li (0.832, 0.469, 0.531)
Ta (0.500, 0.500, 0.500)
Ta (0.000, 0.000, 0.000)



Entry 7:
KCd3C4O12 | PBE | relaxed

Properties
Raw total energy in eV per cell: -127.1
Volume in Å³/cell: 266.46
Theoretical density in g cm⁻³: 3.84
Total magnetic moment in μB per formula unit: 1.04

Unit cell a=6.594 b=6.594 c=6.594 alpha=101.56 beta=101.56 gamma=101.56
Last column: magnetic moment on the atom in μB.
Sites, in units of the cell vectors:
K (0.000, 0.000, 0.000)  0.00
Cd (0.531, 0.469, 0.000)  0.01
Cd (0.469, 0.000, 0.531)  0.01
Cd (0.000, 0.531, 0.469)  0.01
C (0.970, 0.030, 0.500)  -0.01
C (0.030, 0.500, 0.970)  -0.01
C (0.500, 0.970, 0.030)  -0.01
C (0.500, 0.500, 0.500)  -0.01
O (0.500, 0.373, 0.627)  0.06
O (0.902, 0.500, 0.098)  0.08
O (0.098, 0.902, 0.500)  0.08
O (0.500, 0.098, 0.902)  0.08
O (0.404, 0.001, 0.181)  0.08
O (0.181, 0.404, 0.001)  0.08
O (0.001, 0.181, 0.404)  0.08
O (0.596, 0.819, 0.999)  0.08
O (0.999, 0.596, 0.819)  0.08
O (0.819, 0.999, 0.596)  0.08
O (0.627, 0.500, 0.373)  0.06
O (0.373, 0.627, 0.500)  0.06



Entry 8:
KSr2IrPb | PBE | relaxed

Properties
Raw total energy in eV per cell: -17.7
DFT formation energy in eV per atom: -0.140
Volume in Å³/cell: 191.13
Theoretical density in g cm⁻³: 5.33
Total magnetic moment in μB per formula unit: 0.01

Unit cell a=5.983 b=5.983 c=5.339 alpha=90.00 beta=90.00 gamma=90.00
Sites, in units of the cell vectors:
Pb (0.000, 0.000, 0.500)
Sr (0.000, 0.500, 0.000)
Sr (0.500, 0.000, 0.000)
K (0.500, 0.500, 0.500)
Ir (0.000, 0.000, 0.000)



Entry 9:
TaReSi | PBE | relaxed

Properties
Raw total energy in eV per cell: -28.3
Volume in Å³/cell: 55.78
Theoretical density in g cm⁻³: 11.77
Total magnetic moment in μB per formula unit: 0.00

Unit cell a=4.289 b=4.289 c=4.289 alpha=60.00 beta=60.00 gamma=60.00
Sites, in units of the cell vectors:
Re (0.000, 0.000, 0.000)
Si (0.500, 0.500, 0.500)
Ta (0.750, 0.750, 0.750)



Entry 10:
Pm4SnPt2 | PBE | relaxed

Properties
Raw total energy in eV per cell: -82.6
DFT formation energy in eV per atom: -0.891
Volume in Å³/cell: 383.67
Theoretical density in g cm⁻³: 9.43
Total magnetic moment in μB per formula unit: 0.00

Unit cell a=7.146 b=7.100 c=8.940 alpha=107.74 beta=107.93 gamma=103.36
Sites, in units of the cell vectors:
Pm (0.982, 0.202, 0.327)
Pm (0.382, 0.476, 0.196)
Pm (0.841, 0.607, 0.601)
Pm (0.734, 0.168, 0.758)
Pm (0.437, 0.030, 0.305)
Pm (0.226, 0.159, 0.742)
Pm (0.490, 0.756, 0.899)
Pm (0.906, 0.625, 0.173)
Sn (0.297, 0.723, 0.518)
Sn (0.029, 0.955, 0.982)
Pt (0.439, 0.386, 0.580)
Pt (0.779, 0.894, 0.430)
Pt (0.599, 0.214, 0.070)
Pt (0.109, 0.555, 0.920)



Entry 11:
ErPu2V | PBE | relaxed

Properties
Raw total energy in eV per cell: -40.3
DFT formation energy in eV per atom: 0.517
Volume in Å³/cell: 95.37
Theoretical density in g cm⁻³: 12.30
Total magnetic moment in μB per formula unit: 11.07

Unit cell a=3.176 b=3.176 c=11.071 alpha=81.75 beta=81.75 gamma=60.00
Last column: magnetic moment on the atom in μB.
Sites, in units of the cell vectors:
V (0.500, 0.500, 0.500)  -0.17
Er (0.000, 0.000, 0.000)  0.10
Pu (0.097, 0.097, 0.709)  5.35
Pu (0.903, 0.903, 0.291)  5.35



Entry 12:
Li3CdO | PBE | relaxed

Properties
Raw total energy in eV per cell: -16.3
Volume in Å³/cell: 67.29
ΔE to the lowest computed polymorph in eV per atom: 0.000
Theoretical density in g cm⁻³: 3.68
Total magnetic moment in μB per formula unit: 0.00

Unit cell a=4.067 b=4.067 c=4.067 alpha=90.00 beta=90.00 gamma=90.00
Sites, in units of the cell vectors:
Li (0.000, 0.500, 0.000)
Li (0.000, 0.000, 0.500)
Li (0.500, 0.000, 0.000)
O (0.000, 0.000, 0.000)
Cd (0.500, 0.500, 0.500)



Entry 13:
SnPtS2 | PBE | relaxed

Properties
Raw total energy in eV per cell: -19.1
Volume in Å³/cell: 91.06
Theoretical density in g cm⁻³: 6.89
Total magnetic moment in μB per formula unit: 0.00

Unit cell a=8.519 b=8.519 c=8.519 alpha=24.16 beta=24.16 gamma=24.16
Sites, in units of the cell vectors:
S (0.884, 0.884, 0.884)
S (0.116, 0.116, 0.116)
Sn (0.000, 0.000, 0.000)
Pt (0.500, 0.500, 0.500)



Entry 14:
InBr2Cl | PBE | relaxed

Properties
Raw total energy in eV per cell: -8.5
Volume in Å³/cell: 96.72
ΔE to the lowest computed polymorph in eV per atom: 0.765
Theoretical density in g cm⁻³: 5.32
Total magnetic moment in μB per formula unit: 0.00

Unit cell a=5.152 b=5.152 c=5.152 alpha=60.00 beta=60.00 gamma=60.00
Sites, in units of the cell vectors:
Cl (0.000, 0.000, 0.000)
Br (0.250, 0.250, 0.250)
Br (0.750, 0.750, 0.750)
In (0.500, 0.500, 0.500)



Entry 15:
Ce2PrTa | PBE | relaxed

Properties
Raw total energy in eV per cell: -26.4
DFT formation energy in eV per atom: 0.530
Volume in Å³/cell: 104.31
Theoretical density in g cm⁻³: 9.59
Total magnetic moment in μB per formula unit: 0.00

Unit cell a=3.165 b=3.165 c=12.159 alpha=82.52 beta=82.52 gamma=60.00
Sites, in units of the cell vectors:
Pr (0.500, 0.500, 0.500)
Ce (0.078, 0.078, 0.765)
Ce (0.922, 0.922, 0.235)
Ta (0.000, 0.000, 0.000)



Entry 16:
VGaSb3 | PBE | relaxed

Properties
Raw total energy in eV per cell: -19.8
Volume in Å³/cell: 145.11
ΔE to the lowest computed polymorph in eV per atom: 0.643
Theoretical density in g cm⁻³: 5.56
Total magnetic moment in μB per formula unit: 3.74

Unit cell a=5.255 b=5.255 c=5.255 alpha=90.00 beta=90.00 gamma=90.00
Last column: magnetic moment on the atom in μB.
Sites, in units of the cell vectors:
Sb (0.000, 0.500, 0.000)  -0.02
Sb (0.000, 0.000, 0.500)  -0.02
Sb (0.500, 0.000, 0.000)  -0.02
Ga (0.000, 0.000, 0.000)  0.05
V (0.500, 0.500, 0.500)  3.00



Entry 17:
CsUTe2Se | PBE | relaxed

Properties
Raw total energy in eV per cell: -52.4
Volume in Å³/cell: 431.55
Theoretical density in g cm⁻³: 5.43
Total magnetic moment in μB per formula unit: 1.00

Unit cell a=4.528 b=10.048 c=9.674 alpha=101.34 beta=90.00 gamma=90.00
Last column: magnetic moment on the atom in μB.
Sites, in units of the cell vectors:
Cs (0.250, 0.682, 0.336)  0.00
Cs (0.750, 0.318, 0.664)  0.00
U (0.250, 0.858, 0.825)  1.36
U (0.750, 0.142, 0.175)  1.36
Te (0.750, 0.910, 0.640)  -0.08
Te (0.750, 0.834, 0.037)  -0.07
Te (0.250, 0.090, 0.360)  -0.08
Te (0.250, 0.166, 0.963)  -0.07
Se (0.250, 0.603, 0.726)  -0.09
Se (0.750, 0.397, 0.274)  -0.09



Entry 18:
CuIr | PBE | relaxed

Properties
Raw total energy in eV per cell: -25.5
DFT formation energy in eV per atom: 0.099
Volume in Å³/cell: 54.34
Theoretical density in g cm⁻³: 15.63
Total magnetic moment in μB per formula unit: 0.00

Unit cell a=2.701 b=2.701 c=8.603 alpha=90.00 beta=90.00 gamma=120.00
Sites, in units of the cell vectors:
Ir (0.000, 0.000, 0.497)
Ir (0.333, 0.667, 0.753)
Cu (0.000, 0.000, 0.007)
Cu (0.333, 0.667, 0.243)



Entry 19:
Y3HoSc2Bi6 | PBE | relaxed

Properties
Raw total energy in eV per cell: -69.5
DFT formation energy in eV per atom: -0.801
Volume in Å³/cell: 363.66
Theoretical density in g cm⁻³: 8.11
Total magnetic moment in μB per formula unit: 0.00

Unit cell a=7.640 b=7.640 c=7.634 alpha=99.61 beta=99.61 gamma=120.02
Sites, in units of the cell vectors:
Y (0.163, 0.837, 0.500)
Y (0.837, 0.163, 0.500)
Y (0.500, 0.500, 0.500)
Ho (0.000, 0.000, 0.000)
Sc (0.332, 0.668, 0.000)
Sc (0.668, 0.332, 0.000)
Bi (0.920, 0.579, 0.759)
Bi (0.738, 0.738, 0.237)
Bi (0.080, 0.421, 0.241)
Bi (0.579, 0.920, 0.759)
Bi (0.262, 0.262, 0.763)
Bi (0.421, 0.080, 0.241)



Entry 20:
FeCuCl3 | PBE | relaxed

Properties
Raw total energy in eV per cell: -41.7
Volume in Å³/cell: 263.67
ΔE to the lowest computed polymorph in eV per atom: 0.000
Theoretical density in g cm⁻³: 2.84
Total magnetic moment in μB per formula unit: 4.00

Unit cell a=3.814 b=6.854 c=10.607 alpha=97.84 beta=90.00 gamma=106.15
Last column: magnetic moment on the atom in μB.
Sites, in units of the cell vectors:
Fe (0.911, 0.822, 0.708)  3.37
Fe (0.089, 0.178, 0.292)  3.37
Cu (0.677, 0.355, 0.805)  0.08
Cu (0.323, 0.645, 0.195)  0.08
Cl (0.369, 0.737, 0.590)  0.13
Cl (0.631, 0.263, 0.410)  0.13
Cl (0.840, 0.679, 0.891)  0.08
Cl (0.160, 0.321, 0.109)  0.08
Cl (0.091, 0.182, 0.745)  0.06
Cl (0.909, 0.818, 0.255)  0.06



Entry 21:
YZr2Rh2 | PBE | relaxed

Properties
Raw total energy in eV per cell: -81.6
DFT formation energy in eV per atom: -0.506
Volume in Å³/cell: 200.36
ΔE to the lowest computed polymorph in eV per atom: 0.074
Theoretical density in g cm⁻³: 7.91
Total magnetic moment in μB per formula unit: 0.00

Unit cell a=8.086 b=8.086 c=3.065 alpha=90.00 beta=90.00 gamma=90.00
Sites, in units of the cell vectors:
Y (0.000, 0.000, 0.000)
Y (0.500, 0.500, 0.000)
Rh (0.154, 0.654, 0.500)
Rh (0.654, 0.846, 0.500)
Rh (0.846, 0.346, 0.500)
Rh (0.346, 0.154, 0.500)
Zr (0.358, 0.858, 0.000)
Zr (0.858, 0.642, 0.000)
Zr (0.642, 0.142, 0.000)
Zr (0.142, 0.358, 0.000)



Entry 22:
Ho2Ni6Ge | PBE | relaxed

Properties
Raw total energy in eV per cell: -52.1
DFT formation energy in eV per atom: -0.407
Volume in Å³/cell: 134.78
ΔE to the lowest computed polymorph in eV per atom: 0.056
Theoretical density in g cm⁻³: 9.30
Total magnetic moment in μB per formula unit: 0.00

Unit cell a=5.755 b=5.755 c=5.755 alpha=60.00 beta=60.00 gamma=60.00
Sites, in units of the cell vectors:
Ho (0.250, 0.250, 0.250)
Ho (0.750, 0.750, 0.750)
Ni (0.285, 0.715, 0.715)
Ni (0.285, 0.715, 0.285)
Ni (0.715, 0.285, 0.715)
Ni (0.715, 0.285, 0.285)
Ni (0.715, 0.715, 0.285)
Ni (0.285, 0.285, 0.715)
Ge (0.000, 0.000, 0.000)



Entry 23:
Na2CdBiF8 | PBE | relaxed

Properties
Raw total energy in eV per cell: -50.5
Volume in Å³/cell: 168.71
Theoretical density in g cm⁻³: 5.11
Total magnetic moment in μB per formula unit: 0.00

Unit cell a=3.874 b=5.563 c=7.828 alpha=90.00 beta=90.00 gamma=90.01
Sites, in units of the cell vectors:
Na (0.500, 0.500, 0.771)
Na (0.500, 0.500, 0.229)
Cd (0.000, 0.000, 0.000)
Bi (0.000, 0.000, 0.500)
F (0.000, 0.763, 0.270)
F (0.500, 0.763, 0.000)
F (0.000, 0.237, 0.270)
F (0.000, 0.237, 0.730)
F (0.500, 0.237, 0.000)
F (0.000, 0.763, 0.730)
F (0.500, 0.776, 0.500)
F (0.500, 0.224, 0.500)



Entry 24:
PmInHgBi | PBE | relaxed

Properties
Raw total energy in eV per cell: -12.9
DFT formation energy in eV per atom: -0.304
Volume in Å³/cell: 115.91
ΔE to the lowest computed polymorph in eV per atom: 0.140
Theoretical density in g cm⁻³: 9.59
Total magnetic moment in μB per formula unit: 0.00

Unit cell a=5.473 b=5.473 c=5.473 alpha=60.00 beta=60.00 gamma=60.00
Sites, in units of the cell vectors:
Pm (0.750, 0.750, 0.750)
In (0.250, 0.250, 0.250)
Bi (0.500, 0.500, 0.500)
Hg (0.000, 0.000, 0.000)



Entry 25:
YMn2Co2 | PBE | relaxed

Properties
Raw total energy in eV per cell: -74.6
DFT formation energy in eV per atom: 0.340
Volume in Å³/cell: 132.88
ΔE to the lowest computed polymorph in eV per atom: 0.330
Theoretical density in g cm⁻³: 7.91
Total magnetic moment in μB per formula unit: 0.00

Unit cell a=7.173 b=7.173 c=2.582 alpha=90.00 beta=90.00 gamma=90.00
Sites, in units of the cell vectors:
Y (0.000, 0.000, 0.000)
Y (0.500, 0.500, 0.000)
Mn (0.168, 0.668, 0.500)
Mn (0.668, 0.832, 0.500)
Mn (0.832, 0.332, 0.500)
Mn (0.332, 0.168, 0.500)
Co (0.379, 0.879, 0.000)
Co (0.879, 0.621, 0.000)
Co (0.621, 0.121, 0.000)
Co (0.121, 0.379, 0.000)